[1]
First-principles (PBE+U) data for crystalline SrLaTiMnO6 at its relaxed geometry, as listed in Alexandria via LeMat-Bulk.

Calculated values
Excess energy over the best structure of this formula in the dataset, meV per atom: 0

abc: 5.5700 5.6172 9.6155
angles: 74.11 74.07 60.77
Space group P1 (No. 1)
Inequivalent atoms, fractional coordinates:
Sr 0.0000 0.0000 0.0000 (multiplicity 1)
Sr 0.4821 0.5198 0.5088 (multiplicity 1)
La 0.2279 0.2875 0.2583 (multiplicity 1)
La 0.7426 0.7703 0.7477 (multiplicity 1)
Ti 0.3663 0.3774 0.8831 (multiplicity 1)
Ti 0.8584 0.9054 0.3762 (multiplicity 1)
Mn 0.1127 0.1427 0.6291 (multiplicity 1)
Mn 0.6165 0.6387 0.1281 (multiplicity 1)
O 0.0158 0.5388 0.4828 (multiplicity 1)
O 0.0383 0.4131 0.0121 (multiplicity 1)
O 0.1992 0.7350 0.7701 (multiplicity 1)
O 0.2001 0.8772 0.2547 (multiplicity 1)
O 0.3116 0.2136 0.7412 (multiplicity 1)
O 0.4549 0.5097 0.0240 (multiplicity 1)
O 0.4668 0.9802 0.4967 (multiplicity 1)
O 0.5728 0.9629 0.9747 (multiplicity 1)
O 0.6570 0.3071 0.2753 (multiplicity 1)
O 0.7575 0.3241 0.7578 (multiplicity 1)
O 0.7848 0.7563 0.2362 (multiplicity 1)
O 0.9196 0.0458 0.5250 (multiplicity 1)


[2]
First-principles (PBE+U) data for crystalline SrLaTiMnO6 at its relaxed geometry, as listed in Alexandria via LeMat-Bulk.

Calculated values
Excess energy over the best structure of this formula in the dataset, meV per atom: 108

abc: 5.5670 5.5670 13.3530
angles: 90.00 90.00 120.00
Space group R3 (No. 146, hexagonal axes)
Inequivalent atoms, fractional coordinates:
Sr 0.0000 0.0000 0.0000 (multiplicity 3)
La 0.0000 0.0000 0.5040 (multiplicity 3)
Ti 0.0000 0.0000 0.2518 (multiplicity 3)
Mn 0.0000 0.0000 0.7504 (multiplicity 3)
O 0.0013 0.4571 0.0006 (multiplicity 9)
O 0.1099 0.7751 0.8337 (multiplicity 9)


[3]
First-principles (PBE+U) data for crystalline SrLaMnWO6 at its relaxed geometry, as listed in Alexandria via LeMat-Bulk.

Calculated values
Total DFT energy (no corrections), eV/atom: -7.6673
Density of states at the Fermi level, states/eV per atom: 0.000

abc: 5.8048 5.8048 8.1036
angles: 90.00 90.00 90.00
Space group I-4 (No. 82)
Inequivalent atoms, fractional coordinates:
Sr 0.0000 0.0000 0.0000 (multiplicity 2)
La 0.0000 0.0000 0.5000 (multiplicity 2)
Mn 0.0000 0.5000 0.7500 (multiplicity 2)
W 0.0000 0.5000 0.2500 (multiplicity 2)
O 0.0000 0.5000 0.0105 (multiplicity 4)
O 0.1748 0.1938 0.2633 (multiplicity 8)